[1]
CdBiPd5 PBE-GGA optimized geometry; magnetic moment = 0.0 Bohr magnetons per cell; energy above the most stable polymorph in this dataset = 0.000 eV/atom
1.0
4.085 0.000 0.000
0.000 4.085 0.000
0.000 0.000 7.704
Cd Bi Pd
1 1 5
direct
0.000 0.000 0.000
0.500 0.500 0.500
0.000 0.500 0.258
0.000 0.500 0.742
0.500 0.000 0.258
0.500 0.000 0.742
0.500 0.500 0.000

[2]
CdBiPd6 PBE-GGA optimized geometry; magnetic moment = 0.0 Bohr magnetons per cell; energy above the most stable polymorph in this dataset = 0.211 eV/atom
1.0
3.984 -2.732 0.000
3.984 2.732 0.000
-2.175 0.000 7.030
Cd Bi Pd
1 1 6
direct
0.000 0.000 0.000
0.500 0.500 0.500
0.058 0.538 0.702
0.361 0.361 0.066
0.462 0.942 0.298
0.538 0.058 0.702
0.639 0.639 0.934
0.942 0.462 0.298

[3]
CdBi2Pd3 PBE-GGA optimized geometry; magnetic moment = 0.0 Bohr magnetons per cell
1.0
6.396 -3.648 0.000
6.396 3.648 0.000
0.000 0.000 5.700
Cd Bi Pd
2 4 6
direct
0.158 0.842 0.750
0.842 0.158 0.250
0.168 0.505 0.250
0.495 0.832 0.250
0.505 0.168 0.750
0.832 0.495 0.750
0.168 0.168 0.000
0.168 0.168 0.500
0.500 0.500 0.000
0.500 0.500 0.500
0.832 0.832 0.000
0.832 0.832 0.500

Result set for E_form: -259, -65, -285 meV/atom, one per record in the order listed.